## BaCaSe2N (GGA-PBE)

Data for crystalline BaCaSe2N at its relaxed geometry.

Structure (POSCAR):
```
BaCaSe2N
1.0
-4.147 1.909 -3.244
-3.480 -0.108 4.386
1.199 4.405 1.060
Ca Ba N Se
1 1 1 2
direct
0.000 0.000 0.000
0.500 0.500 0.500
0.000 0.000 0.500
0.500 0.000 0.000
0.000 0.500 0.000
```

Properties
Space group: No. 123
Distance to the lowest polymorph of the same formula in meV per atom: 0

## BaCaSeN2 (GGA-PBE)

Data for crystalline BaCaSeN2 at its relaxed geometry.

Structure (POSCAR):
```
BaCaSeN2
1.0
4.757 0.000 0.000
0.000 4.757 0.000
0.000 0.000 5.658
Ba N Se Ca
1 2 1 1
direct
0.500 0.500 0.500
0.500 0.000 0.000
0.000 0.500 0.000
0.000 0.000 0.500
0.000 0.000 0.000
```

Properties
Space group: No. 123
Distance to the lowest polymorph of the same formula in meV per atom: 0

## BaCaSeN2 (GGA-PBE)

Data for crystalline BaCaSeN2 at its relaxed geometry.

Structure (POSCAR):
```
BaCaSeN2
1.0
-3.415 -1.608 2.633
2.975 -0.678 3.445
-1.166 6.089 2.206
Se N Ba Ca
1 2 1 1
direct
0.000 0.000 0.500
0.500 0.000 0.000
0.000 0.500 0.000
0.000 0.000 0.000
0.500 0.500 0.500
```

Properties
Space group: No. 123
Distance to the lowest polymorph of the same formula in meV per atom: 546

## BaCaSe2N (GGA-PBE)

Data for crystalline BaCaSe2N at its relaxed geometry.

Structure (POSCAR):
```
BaCaSe2N
1.0
-4.318 -1.232 -3.942
-3.246 -2.515 4.341
-2.014 4.162 0.906
N Se Ca Ba
1 2 1 1
direct
0.000 0.000 0.500
0.000 0.500 0.000
0.500 0.000 0.000
0.500 0.500 0.500
0.000 0.000 0.000
```

Properties
Space group: No. 123
Distance to the lowest polymorph of the same formula in meV per atom: 658

## Ba2CaSnN (GGA-PBE)

Data for crystalline Ba2CaSnN at its relaxed geometry.

Structure (POSCAR):
```
Ba2CaSnN
1.0
5.720 0.000 0.000
0.000 5.720 0.000
0.000 0.000 4.838
Sn N Ca Ba
1 1 1 2
direct
0.500 0.500 0.500
0.000 0.000 0.000
0.000 0.000 0.500
0.500 0.000 0.000
0.000 0.500 0.000
```

Properties
Space group: No. 123
Distance to the lowest polymorph of the same formula in meV per atom: 0

## Ba2CaSnN (GGA-PBE)

Data for crystalline Ba2CaSnN at its relaxed geometry.

Structure (POSCAR):
```
Ba2CaSnN
1.0
-1.072 6.685 -0.028
-5.506 -0.886 -0.622
-0.745 -0.092 6.728
Ba Sn Ca N
2 1 1 1
direct
0.000 0.000 0.500
0.500 0.000 0.000
0.000 0.500 0.000
0.000 0.000 0.000
0.500 0.500 0.500
```

Properties
Space group: No. 123
Distance to the lowest polymorph of the same formula in meV per atom: 1731

## BaCaTaN3 (GGA-PBE)

Data for crystalline BaCaTaN3 at its relaxed geometry.

Structure (POSCAR):
```
BaCaTaN3
1.0
5.846 0.000 0.000
0.000 6.061 0.000
0.000 -3.031 5.752
Ba N Ca Ta
2 6 2 2
direct
0.750 0.252 0.504
0.250 0.748 0.496
0.000 0.224 0.000
0.750 0.778 0.555
0.500 0.224 0.000
0.500 0.776 0.000
0.250 0.222 0.445
0.000 0.776 0.000
0.250 0.430 0.861
0.750 0.570 0.139
0.250 0.055 0.109
0.750 0.945 0.891
```

Properties
Space group: No. 63

## Ba3CaTc2N6 (GGA-PBE)

Data for crystalline Ba3CaTc2N6 at its relaxed geometry.

Structure (POSCAR):
```
Ba3CaTc2N6
1.0
-2.071 5.684 -1.770
-3.251 -3.364 4.224
3.832 3.078 5.399
N Ca Ba Tc
6 1 3 2
direct
0.346 0.173 0.715
0.654 0.827 0.285
0.827 0.173 0.715
0.173 0.346 0.285
0.173 0.827 0.285
0.827 0.654 0.715
0.000 0.000 0.500
0.667 0.333 0.296
0.000 0.000 0.000
0.333 0.667 0.704
0.333 0.667 0.236
0.667 0.333 0.764
```

Properties
Space group: No. 164

## Ba2CaTcN4 (GGA-PBE)

Data for crystalline Ba2CaTcN4 at its relaxed geometry.

Structure (POSCAR):
```
Ba2CaTcN4
1.0
-5.222 0.277 -3.204
1.343 -5.794 -2.690
-3.782 -3.595 5.854
Ca N Tc Ba
2 8 2 4
direct
0.500 0.769 0.000
0.000 0.231 0.500
0.000 0.348 0.200
0.000 0.348 0.800
0.234 0.015 0.000
0.766 0.015 0.000
0.266 0.985 0.500
0.500 0.652 0.700
0.734 0.985 0.500
0.500 0.652 0.300
0.500 0.796 0.500
0.000 0.204 0.000
0.500 0.232 0.756
0.000 0.768 0.256
0.500 0.232 0.244
0.000 0.768 0.744
```

Properties
Space group: No. 59

## BaCaTe2N (GGA-PBE)

Data for crystalline BaCaTe2N at its relaxed geometry.

Structure (POSCAR):
```
BaCaTe2N
1.0
-1.071 0.543 5.923
-5.511 -2.353 -0.781
1.739 -4.309 0.710
Te Ba N Ca
2 1 1 1
direct
0.000 0.500 0.000
0.500 0.000 0.000
0.500 0.500 0.500
0.000 0.000 0.500
0.000 0.000 0.000
```

Properties
Space group: No. 123
Distance to the lowest polymorph of the same formula in meV per atom: 0

## BaCaTe2N (GGA-PBE)

Data for crystalline BaCaTe2N at its relaxed geometry.

Structure (POSCAR):
```
BaCaTe2N
1.0
6.408 0.000 0.000
0.000 6.408 0.000
0.000 0.000 4.716
Ba Ca Te N
1 1 2 1
direct
0.000 0.000 0.000
0.500 0.500 0.500
0.500 0.000 0.000
0.000 0.500 0.000
0.000 0.000 0.500
```

Properties
Space group: No. 123
Distance to the lowest polymorph of the same formula in meV per atom: 591

## Ba2Ca2ThN4 (GGA-PBE)

Data for crystalline Ba2Ca2ThN4 at its relaxed geometry.

Structure (POSCAR):
```
Ba2Ca2ThN4
1.0
3.895 0.000 0.000
0.000 6.764 0.201
-1.948 -2.451 6.990
Ba Th N Ca
2 1 4 2
direct
0.131 0.516 0.262
0.869 0.484 0.738
0.000 0.000 0.000
0.512 0.790 0.024
0.201 0.189 0.401
0.488 0.210 0.976
0.799 0.811 0.599
0.326 0.000 0.652
0.674 0.000 0.348
```

Properties
Space group: No. 12

## Ba2CaTlN (GGA-PBE)

Data for crystalline Ba2CaTlN at its relaxed geometry.

Structure (POSCAR):
```
Ba2CaTlN
1.0
-0.833 -3.699 4.391
-2.511 -3.756 -3.640
4.269 -2.004 -0.878
Tl N Ba Ca
1 1 2 1
direct
0.500 0.500 0.500
0.000 0.000 0.000
0.500 0.000 0.000
0.000 0.500 0.000
0.000 0.000 0.500
```

Properties
Space group: No. 123

## BaCa2TlN (GGA-PBE)

Data for crystalline BaCa2TlN at its relaxed geometry.

Structure (POSCAR):
```
BaCa2TlN
1.0
4.954 0.000 0.000
0.000 4.954 0.000
0.000 0.000 5.776
Ca Tl Ba N
2 1 1 1
direct
0.000 0.500 0.000
0.500 0.000 0.000
0.500 0.500 0.500
0.000 0.000 0.500
0.000 0.000 0.000
```

Properties
Space group: No. 123

## BaCaUN3 (GGA-PBE)

Data for crystalline BaCaUN3 at its relaxed geometry.

Structure (POSCAR):
```
BaCaUN3
1.0
-0.679 -0.753 -3.557
-6.688 -2.376 1.780
2.225 10.413 -2.629
U N Ca Ba
2 6 2 2
direct
0.750 0.269 0.866
0.250 0.731 0.134
0.750 0.926 0.142
0.750 0.475 0.090
0.750 0.110 0.650
0.250 0.890 0.350
0.250 0.074 0.858
0.250 0.525 0.910
0.250 0.874 0.564
0.750 0.126 0.436
0.250 0.271 0.175
0.750 0.729 0.825
```

Properties
Space group: No. 11

## BaCa3U2N6 (GGA-PBE)

Data for crystalline BaCa3U2N6 at its relaxed geometry.

Structure (POSCAR):
```
BaCa3U2N6
1.0
3.567 0.000 0.000
0.000 7.070 0.402
-1.784 -1.925 7.872
N U Ca Ba
6 2 3 1
direct
0.958 0.698 0.916
0.689 0.581 0.377
0.042 0.302 0.084
0.325 0.875 0.649
0.311 0.419 0.623
0.675 0.125 0.351
0.829 0.660 0.659
0.171 0.340 0.341
0.822 0.158 0.645
0.500 0.500 0.000
0.178 0.842 0.355
0.500 0.000 0.000
```

Properties
Space group: No. 12

## Ba3Ca2UN6 (GGA-PBE)

Data for crystalline Ba3Ca2UN6 at its relaxed geometry.

Structure (POSCAR):
```
Ba3Ca2UN6
1.0
-0.238 -4.673 4.295
0.396 -1.444 -6.172
6.201 2.072 1.015
N U Ca Ba
6 1 2 3
direct
0.777 0.777 0.214
0.652 0.934 0.809
0.348 0.066 0.191
0.066 0.348 0.191
0.934 0.652 0.809
0.223 0.223 0.786
0.000 0.000 0.000
0.664 0.336 0.000
0.336 0.664 0.000
0.171 0.829 0.500
0.829 0.171 0.500
0.500 0.500 0.500
```

Properties
Space group: No. 12

## BaCa2WN4 (GGA-PBE)

Data for crystalline BaCa2WN4 at its relaxed geometry.

Structure (POSCAR):
```
BaCa2WN4
1.0
-7.119 6.135 -1.011
-4.316 -3.584 8.648
5.972 7.965 6.282
Ba W N Ca
8 8 32 16
direct
0.682 0.263 0.622
0.318 0.737 0.378
0.182 0.737 0.878
0.318 0.237 0.122
0.182 0.237 0.622
0.818 0.263 0.122
0.818 0.763 0.378
0.682 0.763 0.878
0.801 0.098 0.389
0.801 0.598 0.111
0.301 0.902 0.111
0.699 0.098 0.889
0.199 0.402 0.889
0.699 0.598 0.611
0.199 0.902 0.611
0.301 0.402 0.389
0.559 0.657 0.509
0.059 0.343 0.991
0.698 0.241 0.333
0.441 0.843 0.009
0.698 0.741 0.167
0.821 0.490 0.527
0.390 0.995 0.231
0.802 0.741 0.667
0.890 0.505 0.231
0.610 0.505 0.731
0.198 0.759 0.167
0.610 0.005 0.769
0.179 0.010 0.027
0.559 0.157 0.991
0.179 0.510 0.473
0.059 0.843 0.509
0.302 0.259 0.833
0.302 0.759 0.667
0.679 0.490 0.027
0.802 0.241 0.833
0.110 0.495 0.769
0.321 0.010 0.527
0.679 0.990 0.473
0.198 0.259 0.333
0.890 0.005 0.269
0.441 0.343 0.491
0.821 0.990 0.973
0.110 0.995 0.731
0.390 0.495 0.269
0.321 0.510 0.973
0.941 0.657 0.009
0.941 0.157 0.491
0.622 0.459 0.369
0.467 0.621 0.103
0.033 0.621 0.603
0.878 0.459 0.869
0.467 0.121 0.397
0.122 0.041 0.369
0.122 0.541 0.131
0.378 0.541 0.631
0.878 0.959 0.631
0.378 0.041 0.869
0.967 0.879 0.103
0.033 0.121 0.897
0.967 0.379 0.397
0.533 0.379 0.897
0.622 0.959 0.131
0.533 0.879 0.603
```

Properties
Space group: No. 61
Distance to the lowest polymorph of the same formula in meV per atom: 0

## BaCa2WN4 (GGA-PBE)

Data for crystalline BaCa2WN4 at its relaxed geometry.

Structure (POSCAR):
```
BaCa2WN4
1.0
-4.602 -3.145 1.995
2.658 -5.354 -2.308
3.767 -1.117 6.928
N Ca W Ba
8 4 2 2
direct
0.318 0.236 0.000
0.882 0.320 0.196
0.882 0.320 0.804
0.961 0.899 0.000
0.382 0.680 0.696
0.461 0.101 0.500
0.818 0.764 0.500
0.382 0.680 0.304
0.989 0.670 0.245
0.989 0.670 0.755
0.489 0.330 0.255
0.489 0.330 0.745
0.002 0.194 0.000
0.502 0.806 0.500
0.977 0.151 0.500
0.477 0.849 0.000
```

Properties
Space group: No. 31
Distance to the lowest polymorph of the same formula in meV per atom: 29

## BaCaZrN3 (GGA-PBE)

Data for crystalline BaCaZrN3 at its relaxed geometry.

Structure (POSCAR):
```
BaCaZrN3
1.0
-1.324 -3.611 -4.538
5.492 -2.369 -1.032
1.560 -5.625 3.364
N Zr Ba Ca
6 2 2 2
direct
0.250 0.770 0.461
0.996 0.734 0.076
0.496 0.809 0.924
0.750 0.230 0.539
0.004 0.266 0.924
0.504 0.191 0.076
0.750 0.055 0.889
0.250 0.945 0.111
0.750 0.747 0.506
0.250 0.253 0.494
0.750 0.431 0.139
0.250 0.569 0.861
```

Properties
Space group: No. 15

Number 1: raw formation energy -0.5586 eV/atom. Number 2: raw formation energy 0.1488 eV/atom. Number 3: raw formation energy 0.6952 eV/atom. Number 4: raw formation energy 0.0995 eV/atom. Number 5: raw formation energy -0.5557 eV/atom. Number 6: raw formation energy 1.1752 eV/atom. Number 7: raw formation energy -1.1564 eV/atom. Number 8: raw formation energy -0.6562 eV/atom. Number 9: raw formation energy -0.6637 eV/atom. Number 10: raw formation energy -0.3770 eV/atom. Number 11: raw formation energy 0.2144 eV/atom. Number 12: raw formation energy -0.6639 eV/atom. Number 13: raw formation energy -0.4148 eV/atom. Number 14: raw formation energy -0.4782 eV/atom. Number 15: raw formation energy -1.0741 eV/atom. Number 16: raw formation energy -1.1285 eV/atom. Number 17: raw formation energy -0.7150 eV/atom. Number 18: raw formation energy -1.0398 eV/atom. Number 19: raw formation energy -1.0107 eV/atom. Number 20: raw formation energy -0.9535 eV/atom.